No. 1
Entry from Alexandria: an optimized crystal structure of Pm2PrSm6Er3 (PBE).

POSCAR file:
```
Pm2PrSm6Er3
1.0
-3.491 2.569 4.511
-0.356 -6.146 -1.113
9.907 -0.714 6.629
Er Pm Sm Pr
3 2 6 1
Direct
0.500 0.500 0.500
0.167 0.833 0.500
0.833 0.167 0.500
0.667 0.333 0.000
0.333 0.667 0.000
0.085 0.419 0.255
0.751 0.751 0.255
0.581 0.915 0.745
0.915 0.581 0.745
0.249 0.249 0.745
0.419 0.085 0.255
0.000 0.000 0.000
```

Summary:
Energy of formation in kJ/mol of formula units: 20
Electronic total energy in eV per atom: -4.673
Theoretical density in g/cm3: 7.6

=====

No. 2
Entry from Alexandria: an optimized crystal structure of FeAg3Pd6 (PBE).

POSCAR file:
```
FeAg3Pd6
1.0
3.995 0.000 0.000
0.000 8.841 -0.199
0.000 0.018 8.963
Pd Ag Fe
12 6 2
Direct
0.750 0.342 0.300
0.250 0.226 0.492
0.250 0.149 0.198
0.750 0.774 0.508
0.250 0.871 0.320
0.250 0.658 0.700
0.750 0.129 0.680
0.750 0.851 0.802
0.250 0.046 0.894
0.750 0.552 0.900
0.750 0.954 0.106
0.250 0.448 0.100
0.250 0.346 0.792
0.750 0.654 0.208
0.250 0.552 0.403
0.750 0.448 0.597
0.250 0.752 0.006
0.750 0.248 0.994
0.750 0.057 0.385
0.250 0.943 0.615
```

Summary:
Energy of formation in kJ/mol of formula units: -46
Electronic total energy in eV per atom: -4.865
Theoretical density in g/cm3: 10.7

=====

No. 3
Entry from Alexandria: an optimized crystal structure of Pr3Sm7Tm (PBE).

POSCAR file:
```
Pr3Sm7Tm
1.0
-1.306 -6.251 -6.065
-3.742 -3.860 4.785
-3.372 4.776 -4.197
Sm Tm Pr
7 1 3
Direct
0.448 0.833 0.666
0.119 0.167 0.833
0.448 0.334 0.167
0.448 0.833 0.167
0.123 0.667 0.333
0.119 0.665 0.833
0.119 0.167 0.335
0.443 0.333 0.667
0.782 0.500 0.999
0.782 0.001 0.500
0.782 0.500 0.500
```

Summary:
Energy of formation in kJ/mol of formula units: 176
Electronic total energy in eV per atom: -4.547
Theoretical density in g/cm3: 6.9

=====

No. 4
Entry from Alexandria: an optimized crystal structure of PmTlBi (PBE).

POSCAR file:
```
PmTlBi
1.0
3.582 0.000 0.000
0.000 5.447 0.000
0.000 -2.724 4.718
Pm Tl Bi
1 1 1
Direct
0.342 0.667 0.333
0.732 0.333 0.667
0.926 0.000 0.000
```

Summary:
Energy of formation in kJ/mol of formula units: -89
Electronic total energy in eV per atom: -3.974
Theoretical density in g/cm3: 10.1

=====

No. 5
Entry from Alexandria: an optimized crystal structure of LiP2Rh (PBE).

POSCAR file:
```
LiP2Rh
1.0
3.541 0.000 0.000
0.000 3.843 0.000
0.000 0.000 3.843
P Rh Li
2 1 1
Direct
0.000 0.000 0.000
0.000 0.500 0.500
0.500 0.500 0.000
0.500 0.000 0.500
```

Summary:
Energy of formation in kJ/mol of formula units: -93
Electronic total energy in eV per atom: -5.263
Theoretical density in g/cm3: 5.5

=====

No. 6
Entry from Alexandria: an optimized crystal structure of CsRbBeI4 (PBE).

POSCAR file:
```
CsRbBeI4
1.0
-4.686 -6.150 0.185
4.415 -3.535 -5.702
8.154 -1.405 7.186
I Cs Rb Be
8 2 2 2
Direct
0.982 0.507 0.227
0.664 0.250 0.479
0.982 0.993 0.227
0.398 0.750 0.167
0.336 0.750 0.521
0.602 0.250 0.833
0.018 0.493 0.773
0.018 0.007 0.773
0.322 0.250 0.095
0.678 0.750 0.905
0.203 0.250 0.534
0.797 0.750 0.466
0.818 0.250 0.714
0.182 0.750 0.286
```

Summary:
Electronic total energy in eV per atom: -2.826
Theoretical density in g/cm3: 3.8
Formation energy from raw total energies in eV/atom: -1.15

=====

No. 7
Entry from Alexandria: an optimized crystal structure of Pr4Y2In (PBE).

POSCAR file:
```
Pr4Y2In
1.0
6.193 0.000 0.000
0.000 6.293 0.000
0.000 -3.146 6.269
Pr In Y
4 1 2
Direct
0.000 0.831 0.661
0.500 0.370 0.739
0.000 0.169 0.339
0.500 0.630 0.261
0.000 0.500 0.000
0.500 0.879 0.758
0.500 0.121 0.242
```

Summary:
Energy of formation in kJ/mol of formula units: 264
Electronic total energy in eV per atom: -4.578
Theoretical density in g/cm3: 5.8

=====

No. 8
Entry from Alexandria: an optimized crystal structure of ScNb2ZnNi (PBE).

POSCAR file:
```
ScNb2ZnNi
1.0
-2.226 -3.771 1.546
3.615 -2.713 -1.413
2.011 0.516 4.154
Zn Sc Nb Ni
1 1 2 1
Direct
0.500 0.500 0.500
0.000 0.500 0.000
0.500 0.000 0.000
0.000 0.000 0.500
0.000 0.000 0.000
```

Summary:
Energy of formation in kJ/mol of formula units: 260
Electronic total energy in eV per atom: -6.166
Theoretical density in g/cm3: 5.8